(1)
DFT (PBE-GGA) results for a geometry-optimized Ta2FeNiSn2 structure. Values from VASP.

Structure (Quantum ESPRESSO input):
```
&SYSTEM
  ibrav = 0, nat = 12, ntyp = 4
/
ATOMIC_SPECIES
Ta 180.95 Ta.upf
Fe 55.84 Fe.upf
Ni 58.69 Ni.upf
Sn 118.71 Sn.upf
ATOMIC_POSITIONS angstrom
Ta 1.4945 1.4339 -1.4927
Ta 1.5550 -1.4945 7.4634
Ta 1.4945 1.5550 4.4781
Ta 1.4339 4.4834 1.4927
Fe 0.0000 0.0000 0.0000
Fe 0.0000 2.9889 2.9854
Ni 2.9889 0.0000 2.9854
Ni 0.0000 0.0000 5.9708
Sn 1.4945 -1.4792 4.4781
Sn 1.5098 1.4945 1.4927
Sn 1.4945 4.4681 -1.4927
Sn 1.4792 1.4945 7.4634
CELL_PARAMETERS angstrom
-2.9889 2.9889 5.9708
2.9889 -2.9889 5.9708
2.9889 2.9889 -5.9708
```

Theoretical density in g/cm3: 11.1
E_tot in eV per atom: -7.8091
Magnetic moment in μB per formula unit: 0.007

(2)
DFT (PBE-GGA) results for a geometry-optimized TaFeNiSn structure. Values from VASP.

Structure (Quantum ESPRESSO input):
```
&SYSTEM
  ibrav = 0, nat = 16, ntyp = 4
/
ATOMIC_SPECIES
Ta 180.95 Ta.upf
Fe 55.84 Fe.upf
Ni 58.69 Ni.upf
Sn 118.71 Sn.upf
ATOMIC_POSITIONS angstrom
Ta 0.0000 0.0000 0.0000
Ta 0.0000 3.1392 3.1392
Ta 3.1392 0.0000 3.1392
Ta 3.1392 3.1392 0.0000
Fe 1.5696 1.5696 4.7088
Fe 1.5696 4.7088 1.5696
Fe 4.7088 1.5696 1.5696
Fe 4.7088 4.7088 4.7088
Ni 0.0000 0.0000 3.1392
Ni 0.0000 3.1392 0.0000
Ni 3.1392 0.0000 0.0000
Ni 3.1392 3.1392 3.1392
Sn 1.5696 1.5696 1.5696
Sn 1.5696 4.7088 4.7088
Sn 4.7088 1.5696 4.7088
Sn 4.7088 4.7088 1.5696
CELL_PARAMETERS angstrom
6.2784 0.0000 0.0000
0.0000 6.2784 0.0000
0.0000 0.0000 6.2784
```

Theoretical density in g/cm3: 11.1
Energy relative to the lowest polymorph listed for this composition in kJ/mol of atoms: 27.18
Magnetic moment in μB per formula unit: 1.918

(3)
DFT (PBE-GGA) results for a geometry-optimized TaFeNiSn structure. Values from VASP.

Structure (Quantum ESPRESSO input):
```
&SYSTEM
  ibrav = 0, nat = 16, ntyp = 4
/
ATOMIC_SPECIES
Ta 180.95 Ta.upf
Fe 55.84 Fe.upf
Ni 58.69 Ni.upf
Sn 118.71 Sn.upf
ATOMIC_POSITIONS angstrom
Ta 0.0000 0.0000 0.0000
Ta 0.0000 3.1336 3.1336
Ta 3.1336 0.0000 3.1336
Ta 3.1336 3.1336 0.0000
Fe 0.0000 0.0000 3.1336
Fe 0.0000 3.1336 0.0000
Fe 3.1336 0.0000 0.0000
Fe 3.1336 3.1336 3.1336
Ni 1.5668 1.5668 4.7003
Ni 1.5668 4.7003 1.5668
Ni 4.7003 1.5668 1.5668
Ni 4.7003 4.7003 4.7003
Sn 1.5668 1.5668 1.5668
Sn 1.5668 4.7003 4.7003
Sn 4.7003 1.5668 4.7003
Sn 4.7003 4.7003 1.5668
CELL_PARAMETERS angstrom
6.2671 0.0000 0.0000
0.0000 6.2671 0.0000
0.0000 0.0000 6.2671
```

Theoretical density in g/cm3: 11.2
Energy relative to the lowest polymorph listed for this composition in kJ/mol of atoms: 32.45
Magnetic moment in μB per formula unit: 1.835

(4)
DFT (PBE-GGA) results for a geometry-optimized FeTcNiSn structure. Values from VASP.

Structure (Quantum ESPRESSO input):
```
&SYSTEM
  ibrav = 0, nat = 16, ntyp = 4
/
ATOMIC_SPECIES
Fe 55.84 Fe.upf
Tc 98.00 Tc.upf
Ni 58.69 Ni.upf
Sn 118.71 Sn.upf
ATOMIC_POSITIONS angstrom
Fe 0.0000 0.0000 0.0000
Fe 0.0000 3.0788 3.0788
Fe 3.0788 0.0000 3.0788
Fe 3.0788 3.0788 0.0000
Tc 1.5394 1.5394 1.5394
Tc 1.5394 4.6183 4.6183
Tc 4.6183 1.5394 4.6183
Tc 4.6183 4.6183 1.5394
Ni 1.5394 1.5394 4.6183
Ni 1.5394 4.6183 1.5394
Ni 4.6183 1.5394 1.5394
Ni 4.6183 4.6183 4.6183
Sn 0.0000 0.0000 3.0788
Sn 0.0000 3.0788 0.0000
Sn 3.0788 0.0000 0.0000
Sn 3.0788 3.0788 3.0788
CELL_PARAMETERS angstrom
6.1577 0.0000 0.0000
0.0000 6.1577 0.0000
0.0000 0.0000 6.1577
```

Theoretical density in g/cm3: 9.4
Energy relative to the lowest polymorph listed for this composition in kJ/mol of atoms: 0.00
Magnetic moment in μB per formula unit: 4.003

(5)
DFT (PBE-GGA) results for a geometry-optimized FeNiSnTe3 structure. Values from VASP.

Structure (Quantum ESPRESSO input):
```
&SYSTEM
  ibrav = 0, nat = 12, ntyp = 4
/
ATOMIC_SPECIES
Fe 55.84 Fe.upf
Ni 58.69 Ni.upf
Sn 118.71 Sn.upf
Te 127.60 Te.upf
ATOMIC_POSITIONS angstrom
Fe 1.8524 5.0255 8.1247
Fe 1.8524 -5.0255 2.7082
Ni 1.8524 0.0000 0.0000
Ni 1.8524 0.0000 5.4164
Sn 1.8524 3.7444 2.7082
Sn 1.8524 -3.7444 8.1247
Te 1.8524 5.1018 5.5862
Te 1.8524 5.1018 10.6631
Te 1.8524 0.0292 2.7082
Te 1.8524 -0.0292 8.1247
Te 1.8524 -5.1018 0.1698
Te 1.8524 -5.1018 5.2467
CELL_PARAMETERS angstrom
1.8524 -6.8650 0.0000
1.8524 6.8650 0.0000
0.0000 0.0000 10.8329
```

Theoretical density in g/cm3: 7.4
Energy relative to the lowest polymorph listed for this composition in kJ/mol of atoms: 1.29
Magnetic moment in μB per formula unit: 1.489

(6)
DFT (PBE-GGA) results for a geometry-optimized FeNiSnTe3 structure. Values from VASP.

Structure (Quantum ESPRESSO input):
```
&SYSTEM
  ibrav = 0, nat = 12, ntyp = 4
/
ATOMIC_SPECIES
Fe 55.84 Fe.upf
Ni 58.69 Ni.upf
Sn 118.71 Sn.upf
Te 127.60 Te.upf
ATOMIC_POSITIONS angstrom
Fe 0.0000 0.0000 0.0000
Fe 0.0000 0.0000 5.3693
Ni 1.8624 1.9292 8.0540
Ni 1.8624 -1.9292 2.6847
Sn 1.8624 3.1680 2.6847
Sn 1.8624 -3.1680 8.0540
Te 1.8624 6.8429 2.6847
Te 1.8624 1.8276 5.5004
Te 1.8624 1.8276 10.6076
Te 1.8624 -1.8276 0.1310
Te 1.8624 -1.8276 5.2383
Te 1.8624 -6.8429 8.0540
CELL_PARAMETERS angstrom
1.8624 -6.9250 0.0000
1.8624 6.9250 0.0000
0.0000 0.0000 10.7386
```

Theoretical density in g/cm3: 7.4
Energy relative to the lowest polymorph listed for this composition in kJ/mol of atoms: 0.00
Magnetic moment in μB per formula unit: 1.890

(7)
DFT (PBE-GGA) results for a geometry-optimized YFeNiSn structure. Values from VASP.

Structure (Quantum ESPRESSO input):
```
&SYSTEM
  ibrav = 0, nat = 16, ntyp = 4
/
ATOMIC_SPECIES
Y 88.91 Y.upf
Fe 55.84 Fe.upf
Ni 58.69 Ni.upf
Sn 118.71 Sn.upf
ATOMIC_POSITIONS angstrom
Y 0.0000 0.0000 0.0000
Y 0.0000 3.3312 3.3312
Y 3.3312 0.0000 3.3312
Y 3.3312 3.3312 0.0000
Fe 0.0000 0.0000 3.3312
Fe 0.0000 3.3312 0.0000
Fe 3.3312 0.0000 0.0000
Fe 3.3312 3.3312 3.3312
Ni 1.6656 1.6656 4.9968
Ni 1.6656 4.9968 1.6656
Ni 4.9968 1.6656 1.6656
Ni 4.9968 4.9968 4.9968
Sn 1.6656 1.6656 1.6656
Sn 1.6656 4.9968 4.9968
Sn 4.9968 1.6656 4.9968
Sn 4.9968 4.9968 1.6656
CELL_PARAMETERS angstrom
6.6624 0.0000 0.0000
0.0000 6.6624 0.0000
0.0000 0.0000 6.6624
```

Theoretical density in g/cm3: 7.2
Energy relative to the lowest polymorph listed for this composition in kJ/mol of atoms: 21.07
Magnetic moment in μB per formula unit: 2.927

(8)
DFT (PBE-GGA) results for a geometry-optimized YFeNiSn structure. Values from VASP.

Structure (Quantum ESPRESSO input):
```
&SYSTEM
  ibrav = 0, nat = 16, ntyp = 4
/
ATOMIC_SPECIES
Y 88.91 Y.upf
Fe 55.84 Fe.upf
Ni 58.69 Ni.upf
Sn 118.71 Sn.upf
ATOMIC_POSITIONS angstrom
Y 0.0000 0.0000 0.0000
Y 0.0000 3.2501 3.2501
Y 3.2501 0.0000 3.2501
Y 3.2501 3.2501 0.0000
Fe 1.6251 1.6251 4.8752
Fe 1.6251 4.8752 1.6251
Fe 4.8752 1.6251 1.6251
Fe 4.8752 4.8752 4.8752
Ni 1.6251 1.6251 1.6251
Ni 1.6251 4.8752 4.8752
Ni 4.8752 1.6251 4.8752
Ni 4.8752 4.8752 1.6251
Sn 0.0000 0.0000 3.2501
Sn 0.0000 3.2501 0.0000
Sn 3.2501 0.0000 0.0000
Sn 3.2501 3.2501 3.2501
CELL_PARAMETERS angstrom
6.5002 0.0000 0.0000
0.0000 6.5002 0.0000
0.0000 0.0000 6.5002
```

Theoretical density in g/cm3: 7.8
Energy relative to the lowest polymorph listed for this composition in kJ/mol of atoms: 0.00
Magnetic moment in μB per formula unit: 1.786

(9)
DFT (PBE-GGA) results for a geometry-optimized ZnFeNiSn structure. Values from VASP.

Structure (Quantum ESPRESSO input):
```
&SYSTEM
  ibrav = 0, nat = 16, ntyp = 4
/
ATOMIC_SPECIES
Zn 65.41 Zn.upf
Fe 55.84 Fe.upf
Ni 58.69 Ni.upf
Sn 118.71 Sn.upf
ATOMIC_POSITIONS angstrom
Zn 0.0000 0.0000 0.0000
Zn 0.0000 3.0320 3.0320
Zn 3.0320 0.0000 3.0320
Zn 3.0320 3.0320 0.0000
Fe 1.5160 1.5160 4.5481
Fe 1.5160 4.5481 1.5160
Fe 4.5481 1.5160 1.5160
Fe 4.5481 4.5481 4.5481
Ni 1.5160 1.5160 1.5160
Ni 1.5160 4.5481 4.5481
Ni 4.5481 1.5160 4.5481
Ni 4.5481 4.5481 1.5160
Sn 0.0000 0.0000 3.0320
Sn 0.0000 3.0320 0.0000
Sn 3.0320 0.0000 0.0000
Sn 3.0320 3.0320 3.0320
CELL_PARAMETERS angstrom
6.0641 0.0000 0.0000
0.0000 6.0641 0.0000
0.0000 0.0000 6.0641
```

Theoretical density in g/cm3: 8.9
Energy relative to the lowest polymorph listed for this composition in kJ/mol of atoms: 0.00
Magnetic moment in μB per formula unit: 1.579

(10)
DFT (PBE-GGA) results for a geometry-optimized ZnFeNiSn structure. Values from VASP.

Structure (Quantum ESPRESSO input):
```
&SYSTEM
  ibrav = 0, nat = 16, ntyp = 4
/
ATOMIC_SPECIES
Zn 65.41 Zn.upf
Fe 55.84 Fe.upf
Ni 58.69 Ni.upf
Sn 118.71 Sn.upf
ATOMIC_POSITIONS angstrom
Zn 0.0000 0.0000 0.0000
Zn 0.0000 3.0290 3.0290
Zn 3.0290 0.0000 3.0290
Zn 3.0290 3.0290 0.0000
Fe 1.5145 1.5145 4.5435
Fe 1.5145 4.5435 1.5145
Fe 4.5435 1.5145 1.5145
Fe 4.5435 4.5435 4.5435
Ni 0.0000 0.0000 3.0290
Ni 0.0000 3.0290 0.0000
Ni 3.0290 0.0000 0.0000
Ni 3.0290 3.0290 3.0290
Sn 1.5145 1.5145 1.5145
Sn 1.5145 4.5435 4.5435
Sn 4.5435 1.5145 4.5435
Sn 4.5435 4.5435 1.5145
CELL_PARAMETERS angstrom
6.0580 0.0000 0.0000
0.0000 6.0580 0.0000
0.0000 0.0000 6.0580
```

Theoretical density in g/cm3: 8.9
Energy relative to the lowest polymorph listed for this composition in kJ/mol of atoms: 18.54
Magnetic moment in μB per formula unit: 2.678

(11)
DFT (PBE-GGA) results for a geometry-optimized ZrFeNiSn structure. Values from VASP.

Structure (Quantum ESPRESSO input):
```
&SYSTEM
  ibrav = 0, nat = 16, ntyp = 4
/
ATOMIC_SPECIES
Zr 91.22 Zr.upf
Fe 55.84 Fe.upf
Ni 58.69 Ni.upf
Sn 118.71 Sn.upf
ATOMIC_POSITIONS angstrom
Zr 0.0000 0.0000 0.0000
Zr 0.0000 3.1603 3.1603
Zr 3.1603 0.0000 3.1603
Zr 3.1603 3.1603 0.0000
Fe 1.5802 1.5802 4.7405
Fe 1.5802 4.7405 1.5802
Fe 4.7405 1.5802 1.5802
Fe 4.7405 4.7405 4.7405
Ni 1.5802 1.5802 1.5802
Ni 1.5802 4.7405 4.7405
Ni 4.7405 1.5802 4.7405
Ni 4.7405 4.7405 1.5802
Sn 0.0000 0.0000 3.1603
Sn 0.0000 3.1603 0.0000
Sn 3.1603 0.0000 0.0000
Sn 3.1603 3.1603 3.1603
CELL_PARAMETERS angstrom
6.3206 0.0000 0.0000
0.0000 6.3206 0.0000
0.0000 0.0000 6.3206
```

Theoretical density in g/cm3: 8.5
Energy relative to the lowest polymorph listed for this composition in kJ/mol of atoms: 0.00
Magnetic moment in μB per formula unit: 1.754

(12)
DFT (PBE-GGA) results for a geometry-optimized ZrFeNiSn structure. Values from VASP.

Structure (Quantum ESPRESSO input):
```
&SYSTEM
  ibrav = 0, nat = 16, ntyp = 4
/
ATOMIC_SPECIES
Zr 91.22 Zr.upf
Fe 55.84 Fe.upf
Ni 58.69 Ni.upf
Sn 118.71 Sn.upf
ATOMIC_POSITIONS angstrom
Zr 0.0000 0.0000 0.0000
Zr 0.0000 3.2266 3.2266
Zr 3.2266 0.0000 3.2266
Zr 3.2266 3.2266 0.0000
Fe 0.0000 0.0000 3.2266
Fe 0.0000 3.2266 0.0000
Fe 3.2266 0.0000 0.0000
Fe 3.2266 3.2266 3.2266
Ni 1.6133 1.6133 4.8399
Ni 1.6133 4.8399 1.6133
Ni 4.8399 1.6133 1.6133
Ni 4.8399 4.8399 4.8399
Sn 1.6133 1.6133 1.6133
Sn 1.6133 4.8399 4.8399
Sn 4.8399 1.6133 4.8399
Sn 4.8399 4.8399 1.6133
CELL_PARAMETERS angstrom
6.4532 0.0000 0.0000
0.0000 6.4532 0.0000
0.0000 0.0000 6.4532
```

Theoretical density in g/cm3: 8.0
Energy relative to the lowest polymorph listed for this composition in kJ/mol of atoms: 29.16
Magnetic moment in μB per formula unit: 2.420

Copy entry 3 word for word.
DFT (PBE-GGA) results for a geometry-optimized TaFeNiSn structure. Values from VASP.

Structure (Quantum ESPRESSO input):
```
&SYSTEM
  ibrav = 0, nat = 16, ntyp = 4
/
ATOMIC_SPECIES
Ta 180.95 Ta.upf
Fe 55.84 Fe.upf
Ni 58.69 Ni.upf
Sn 118.71 Sn.upf
ATOMIC_POSITIONS angstrom
Ta 0.0000 0.0000 0.0000
Ta 0.0000 3.1336 3.1336
Ta 3.1336 0.0000 3.1336
Ta 3.1336 3.1336 0.0000
Fe 0.0000 0.0000 3.1336
Fe 0.0000 3.1336 0.0000
Fe 3.1336 0.0000 0.0000
Fe 3.1336 3.1336 3.1336
Ni 1.5668 1.5668 4.7003
Ni 1.5668 4.7003 1.5668
Ni 4.7003 1.5668 1.5668
Ni 4.7003 4.7003 4.7003
Sn 1.5668 1.5668 1.5668
Sn 1.5668 4.7003 4.7003
Sn 4.7003 1.5668 4.7003
Sn 4.7003 4.7003 1.5668
CELL_PARAMETERS angstrom
6.2671 0.0000 0.0000
0.0000 6.2671 0.0000
0.0000 0.0000 6.2671
```

Theoretical density in g/cm3: 11.2
Energy relative to the lowest polymorph listed for this composition in kJ/mol of atoms: 32.45
Magnetic moment in μB per formula unit: 1.835